[1]
GGA-PBE PaIn3Cl8, relaxed; energy relative to the elements, uncorrected = -1.298 eV per atom; space group = Pm-3m, No. 221; magnetic moment = 0.00 μB/cell
1.0
-6.727 2.328 0.384
-1.804 -4.329 -5.369
-1.520 -5.163 4.675
Cl In Pa
8 3 1
direct
0.778 0.222 0.222
0.222 0.222 0.222
0.778 0.222 0.778
0.222 0.778 0.222
0.222 0.778 0.778
0.778 0.778 0.778
0.222 0.222 0.778
0.778 0.778 0.222
0.000 0.500 0.500
0.500 0.000 0.500
0.500 0.500 0.000
0.000 0.000 0.000


[2]
GGA-PBE PaIn2Cl6, relaxed; energy relative to the elements, uncorrected = -1.454 eV per atom; space group = P2_1/c, No. 14; magnetic moment = 2.02 μB/cell
1.0
-7.619 -2.403 -1.215
2.004 -7.130 1.536
-2.559 2.906 10.302
In Cl Pa
4 12 2
direct
0.083 0.462 0.279
0.583 0.038 0.221
0.917 0.538 0.721
0.417 0.962 0.779
0.426 0.653 0.223
0.173 0.712 0.539
0.827 0.288 0.461
0.926 0.847 0.277
0.738 0.848 0.588
0.327 0.212 0.039
0.262 0.152 0.412
0.574 0.347 0.777
0.762 0.348 0.088
0.238 0.652 0.912
0.074 0.153 0.723
0.673 0.788 0.961
0.500 0.500 0.000
0.000 0.000 0.500


[3]
GGA-PBE Pa2InCl8, relaxed; energy relative to the elements, uncorrected = -1.597 eV per atom; space group = C2/m, No. 12; magnetic moment = 3.00 μB/cell
1.0
-1.697 3.724 5.684
-1.440 -6.531 5.204
5.510 -3.584 5.348
Cl Pa In
8 2 1
direct
0.704 0.386 0.386
0.748 0.409 0.919
0.686 0.877 0.877
0.252 0.591 0.081
0.296 0.614 0.614
0.748 0.919 0.409
0.252 0.081 0.591
0.314 0.123 0.123
0.495 0.742 0.742
0.505 0.258 0.258
0.000 0.000 0.000


[4]
GGA-PBE Pa2InCl11, relaxed; energy relative to the elements, uncorrected = -1.695 eV per atom; space group = Ibam, No. 72; magnetic moment = 0.00 μB/cell
1.0
10.877 0.000 5.669
4.982 9.237 3.710
1.145 0.110 11.072
Cl Pa In
22 4 2
direct
0.311 0.369 0.891
0.571 0.109 0.631
0.395 0.816 0.925
0.696 0.299 0.701
0.189 0.609 0.131
0.636 0.684 0.575
0.136 0.075 0.184
0.605 0.184 0.075
0.000 0.000 0.000
0.071 0.131 0.609
0.196 0.201 0.799
0.364 0.316 0.425
0.804 0.799 0.201
0.929 0.869 0.391
0.689 0.631 0.109
0.304 0.701 0.299
0.429 0.891 0.369
0.811 0.391 0.869
0.105 0.575 0.684
0.500 0.500 0.500
0.864 0.925 0.816
0.895 0.425 0.316
0.161 0.842 0.158
0.839 0.158 0.842
0.661 0.658 0.342
0.339 0.342 0.658
0.250 0.250 0.250
0.750 0.750 0.750


[5]
GGA-PBE PaIn3Cl7, relaxed; energy relative to the elements, uncorrected = -1.314 eV per atom; space group = Cm, No. 8; magnetic moment = 1.00 μB/cell
1.0
6.377 0.381 3.564
-1.096 6.294 3.564
-0.209 -0.264 8.888
Cl In Pa
7 3 1
direct
0.148 0.148 0.112
0.309 0.951 0.746
0.641 0.641 0.399
0.951 0.309 0.746
0.787 0.787 0.910
0.144 0.617 0.211
0.617 0.144 0.211
0.246 0.824 0.481
0.824 0.246 0.481
0.511 0.511 0.911
0.947 0.947 0.040


[6]
GGA-PBE PaIn2Cl8, relaxed; energy relative to the elements, uncorrected = -1.273 eV per atom; space group = C2/m, No. 12; energy above the lowest structure with this stoichiometry = 79 meV/atom; magnetic moment = 0.00 μB/cell
1.0
-4.090 -0.705 -6.480
4.939 -4.527 -4.401
-0.424 -7.979 -0.640
Pa Cl In
1 8 2
direct
0.000 0.000 0.000
0.191 0.124 0.652
0.191 0.652 0.124
0.243 0.625 0.625
0.757 0.375 0.375
0.809 0.348 0.876
0.809 0.876 0.348
0.223 0.106 0.106
0.777 0.894 0.894
0.412 0.750 0.750
0.588 0.250 0.250


[7]
GGA-PBE PaIn2PbCl8, relaxed; energy relative to the elements, uncorrected = -1.349 eV per atom; space group = P2/m, No. 10; magnetic moment = 1.01 μB/cell
1.0
-0.994 0.260 -7.122
6.285 -3.126 -0.612
-3.868 -7.829 0.253
In Pb Cl Pa
2 1 8 1
direct
0.500 0.500 0.258
0.500 0.500 0.742
0.000 0.000 0.500
0.689 0.793 0.000
0.320 0.260 0.500
0.132 0.787 0.228
0.868 0.213 0.772
0.868 0.213 0.228
0.311 0.207 0.000
0.132 0.787 0.772
0.680 0.740 0.500
0.000 0.000 0.000


[8]
GGA-PBE Rb2PaInCl8, relaxed; energy relative to the elements, uncorrected = -1.703 eV per atom; space group = P2/m, No. 10; magnetic moment = 0.11 μB/cell
1.0
7.226 -0.209 -0.003
-0.200 7.031 -0.008
0.007 0.011 10.012
Cl Pa Rb In
8 1 2 1
direct
0.140 0.799 0.816
0.860 0.201 0.184
0.301 0.279 0.500
0.295 0.226 0.000
0.705 0.774 0.000
0.139 0.799 0.184
0.699 0.721 0.500
0.861 0.201 0.816
0.000 0.000 0.000
0.500 0.499 0.736
0.500 0.501 0.264
0.000 0.000 0.500


Number 1: total energy -4.01 eV/atom. Number 2: total energy -4.35 eV/atom. Number 3: total energy -4.92 eV/atom. Number 4: total energy -4.70 eV/atom. Number 5: total energy -4.10 eV/atom. Number 6: total energy -3.98 eV/atom. Number 7: total energy -4.14 eV/atom. Number 8: total energy -4.11 eV/atom.